Here is a relaxed structure of PmSi2Se6 from the Alexandria database. Energies are from PBE-GGA.

Output
- formation energy from raw total energies (meV per atom) = -649
- total DFT energy (no corrections) (eV for the cell shown) = -84.7

Unit cell a=7.012 b=8.971 c=8.971 alpha=78.99 beta=74.91 gamma=74.91
Element x y z (fractional)
Si1 0.736 0.362 0.205
Se1 0.980 0.421 0.303
Se2 0.020 0.579 0.697
Si2 0.264 0.638 0.795
Se3 0.826 0.185 0.033
Se4 0.480 0.303 0.421
Se5 0.520 0.697 0.579
Se6 0.623 0.600 0.079
Se7 0.123 0.079 0.600
Si3 0.764 0.795 0.638
Se8 0.674 0.967 0.815
Se9 0.326 0.033 0.185
Se10 0.877 0.921 0.400
Se11 0.377 0.400 0.921
Si4 0.236 0.205 0.362
Pm1 0.250 0.146 0.854
Pm2 0.750 0.854 0.146
Se12 0.174 0.815 0.967